(1)
DFT (PBE) results for an optimized crystal structure of Tb2ThSc.

Summary:
The energy relative to the elements comes out at 0.036 eV per atom. The value obtained for the distance to the lowest polymorph of the same formula is 0.0 meV/atom.

Unit cell a=11.3727 b=11.3727 c=11.3727 alpha=17.86 beta=17.86 gamma=17.86
Element x y z (fractional)
Tb: 0.0000 0.0000 0.0000
Tb: 0.1626 0.1626 0.1626
Th: 0.5810 0.5810 0.5810
Sc: 0.4152 0.4152 0.4152

(2)
DFT (PBE) results for an optimized crystal structure of TbTh3Sc6.

Summary:
The energy relative to the elements comes out at 0.049 eV per atom. The value obtained for the distance to the lowest polymorph of the same formula is 0.0 meV/atom.

Unit cell a=5.9949 b=6.4431 c=8.0172 alpha=103.75 beta=111.83 gamma=90.03
Element x y z (fractional)
Tb: 0.0000 0.0000 0.0000
Th: 0.3871 0.8829 0.4107
Th: 0.6018 0.1954 0.2068
Th: 0.7907 0.6890 0.2113
Sc: 0.1780 0.4972 0.0012
Sc: 0.2098 0.3871 0.4157
Sc: 0.4057 0.7872 0.8042
Sc: 0.5646 0.2980 0.8016
Sc: 0.8175 0.5787 0.6133
Sc: 0.9834 0.0917 0.6084

(3)
DFT (PBE) results for an optimized crystal structure of TbTh4Sc.

Summary:
The energy relative to the elements comes out at 0.044 eV per atom.

Unit cell a=3.5535 b=6.0990 c=9.2465 alpha=76.59 beta=78.94 gamma=73.14
Element x y z (fractional)
Tb: 0.0000 0.0000 0.0000
Th: 0.3322 0.5071 0.8271
Th: 0.3336 0.9921 0.3391
Th: 0.6664 0.0079 0.6609
Th: 0.6678 0.4929 0.1729
Sc: 0.0000 0.5000 0.5000

Number 1: density of states at the Fermi level 1.690 states/eV/atom, total moment 0.09 μB/cell, E_tot -5.72 eV/atom. Number 2: density of states at the Fermi level 1.601 states/eV/atom, total moment 0.00 μB/cell, E_tot -6.44 eV/atom. Number 3: density of states at the Fermi level 1.555 states/eV/atom, total moment 0.00 μB/cell, E_tot -6.73 eV/atom.